Record 1
A plane-wave DFT calculation with PBE-GGA was carried out for a relaxed structure of BaSi2Hg.

Lattice parameters (Å, degrees): 6.4565 6.4565 6.4565 40.94 40.94 40.94
Atoms (fractional coordinates):
Ba 0.0000 0.0000 0.0000
Si 0.2100 0.2100 0.2100
Si 0.7900 0.7900 0.7900
Hg 0.5000 0.5000 0.5000

The calculation puts the total magnetization at 0.00 μB/cell. The uncorrected formation energy comes out at 0.024 eV per atom. As for the space group: R-3m. As for the uncorrected energy: -0.2384 Ry per atom.

=====

Record 2
A plane-wave DFT calculation with PBE-GGA was carried out for a relaxed structure of Li6Zn12Cu.

Lattice parameters (Å, degrees): 6.7415 6.7415 6.7415 100.70 100.70 100.70
Atoms (fractional coordinates):
Li 0.0724 0.3350 0.3355
Li 0.3355 0.0724 0.3350
Li 0.3350 0.3355 0.0724
Li 0.6650 0.6645 0.9276
Li 0.6645 0.9276 0.6650
Li 0.9276 0.6650 0.6645
Zn 0.0961 0.0971 0.6791
Zn 0.0971 0.6791 0.0961
Zn 0.2474 0.5006 0.7529
Zn 0.2471 0.7526 0.4994
Zn 0.3209 0.9039 0.9029
Zn 0.4994 0.2471 0.7526
Zn 0.5006 0.7529 0.2474
Zn 0.6791 0.0961 0.0971
Zn 0.7529 0.2474 0.5006
Zn 0.7526 0.4994 0.2471
Zn 0.9029 0.3209 0.9039
Zn 0.9039 0.9029 0.3209
Cu 0.5000 0.5000 0.5000

The calculation puts the formation energy at -2.0 eV/f.u. The calculation puts the total magnetization at 0.00 μB/cell. As for the space group: R-3. As for the uncorrected energy: -0.1272 Ry per atom.